! As2PSeS | Alexandria | meta-GGA SCAN | PBEsol geometry; values from VASP
&SYSTEM
  ibrav = 0, nat = 5, ntyp = 4
/
ATOMIC_SPECIES
As 74.92 As.upf
P 30.97 P.upf
S 32.06 S.upf
Se 78.96 Se.upf
ATOMIC_POSITIONS angstrom
As 0.338 -0.288 -2.302
As -1.876 -1.402 -0.100
P -2.922 0.193 -2.841
S 0.000 0.000 0.000
Se -1.384 1.883 -0.439
CELL_PARAMETERS angstrom
-2.768 3.766 -0.877
0.676 -0.575 -4.604
-3.752 -2.805 -0.201
! **Theoretical density**: 4.6 g/cm3
! **SG**: P4/mmm
! **Total magnetic moment**: 0.000 μB/atom
! **Raw formation energy**: 1.110 eV per atom